[1]
## Tb2HoCu (PBE)

Data for Tb2HoCu after structural relaxation.

abc: 4.905 11.532 7.567
angles: 90.00 90.00 90.00
Space group Cmcm (No. 63)
Asymmetric unit:
Tb  0.000  0.147  0.031 x8
Ho  0.000  0.456  0.250 x4
Cu  0.000  0.299  0.750 x4

Results
DFT total energy: -0.334 Ry/atom
D(E_F): 4.58 states/eV/f.u.
ρ: 8.5 g cm⁻³
Magnetization: 0.00 μB/atom

[2]
## Pu2ZrZn (PBE)

Data for Pu2ZrZn after structural relaxation.

abc: 3.888 3.888 6.232
angles: 90.00 90.00 90.00
Space group P4/mmm (No. 123)
Asymmetric unit:
Pu  0.000  0.000  0.236 x2
Zr  0.500  0.500  0.500 x1
Zn  0.500  0.500  0.000 x1

Results
DFT total energy: -0.696 Ry/atom
D(E_F): 13.21 states/eV/f.u.
ρ: 11.4 g cm⁻³
Magnetization: 3.14 μB/atom